PBE Nd4GaPd, relaxed; crystal system = orthorhombic; E above lowest polymorph = 0.68 eV per formula unit
1.0
2.6800 -10.7958 0.0000
2.6800 10.7958 0.0000
0.0000 0.0000 6.4266
Nd Ga Pd
8 2 2
direct
0.0565 0.9435 0.5000 Nd
0.1915 0.8085 0.7754 Nd
0.2137 0.7863 0.2938 Nd
0.3875 0.6125 0.5532 Nd
0.6125 0.3875 0.0532 Nd
0.7863 0.2137 0.7938 Nd
0.8085 0.1915 0.2754 Nd
0.9435 0.0565 0.0000 Nd
0.3419 0.6581 0.0291 Ga
0.6581 0.3419 0.5291 Ga
0.0751 0.9249 0.0067 Pd
0.9249 0.0751 0.5067 Pd



PBE Pr2MgZn9, relaxed; crystal system = trigonal; uncorrected energy = -2.04 eV/atom
1.0
2.7741 1.6016 8.6451
-2.7741 1.6016 8.6451
0.0000 -3.2033 8.6451
Pr Mg Zn
2 1 9
direct
0.1394 0.1394 0.1394 Pr
0.8606 0.8606 0.8606 Pr
0.0000 0.0000 0.0000 Mg
0.0775 0.5825 0.5825 Zn
0.3345 0.3345 0.3345 Zn
0.4175 0.4175 0.9225 Zn
0.4175 0.9225 0.4175 Zn
0.5000 0.5000 0.5000 Zn
0.5825 0.0775 0.5825 Zn
0.5825 0.5825 0.0775 Zn
0.6655 0.6655 0.6655 Zn
0.9225 0.4175 0.4175 Zn



PBE SrCa2Rh, relaxed; crystal system = orthorhombic; E above lowest polymorph = 0.46 eV per formula unit
1.0
-1.8686 2.8946 6.0240
1.8686 -2.8946 6.0240
1.8686 2.8946 -6.0240
Sr Ca Rh
1 2 1
direct
0.0000 0.0000 0.0000 Sr
0.3225 0.8225 0.5000 Ca
0.6775 0.1775 0.5000 Ca
0.5000 0.5000 0.0000 Rh



PBE CaNdHo, relaxed; crystal system = monoclinic; E above lowest polymorph = 0.00 eV per formula unit
1.0
3.1702 -1.8294 0.0000
3.1702 1.8294 0.0000
-2.1377 0.0000 18.3546
Ca Nd Ho
2 2 2
direct
0.1955 0.1955 0.0904 Ca
0.8045 0.8045 0.9096 Ca
0.0791 0.0791 0.7326 Nd
0.9209 0.9209 0.2674 Nd
0.3595 0.3595 0.5777 Ho
0.6405 0.6405 0.4223 Ho



PBE AsSeCl2, relaxed; crystal system = tetragonal; energy relative to the elements, uncorrected = 0.320 eV/atom; E above lowest polymorph = 2.57 eV per formula unit
1.0
3.0516 0.0000 0.0000
0.0000 3.0516 0.0000
0.0000 0.0000 10.3645
As Se Cl
1 1 2
direct
0.0000 0.0000 0.0000 As
0.0000 0.0000 0.5000 Se
0.5000 0.5000 0.1667 Cl
0.5000 0.5000 0.8333 Cl



PBE HoEr2Pb, relaxed; crystal system = monoclinic; E above lowest polymorph = 0.00 eV per formula unit
1.0
4.6038 0.0000 0.0000
0.0000 4.6536 0.0000
-2.2994 0.0000 11.1638
Ho Er Pb
2 4 2
direct
0.1906 0.2500 0.3820 Ho
0.8094 0.7500 0.6180 Ho
0.0584 0.7500 0.1173 Er
0.4378 0.7500 0.8752 Er
0.5622 0.2500 0.1248 Er
0.9416 0.2500 0.8827 Er
0.3325 0.2500 0.6644 Pb
0.6675 0.7500 0.3356 Pb



PBE Nd4YEr2, relaxed; crystal system = orthorhombic; E above lowest polymorph = 1.39 eV per formula unit
1.0
-3.4468 5.7252 6.0838
3.4468 -5.7252 6.0838
3.4468 5.7252 -6.0838
Nd Y Er
8 2 4
direct
0.1520 0.1484 0.0037 Nd
0.2398 0.2104 0.4707 Nd
0.2398 0.7691 0.0293 Nd
0.3553 0.8516 0.5037 Nd
0.6447 0.1484 0.4963 Nd
0.7602 0.2309 0.9707 Nd
0.7602 0.7896 0.5293 Nd
0.8480 0.8516 0.9963 Nd
0.5000 0.0000 0.0000 Y
0.5000 0.5000 0.5000 Y
0.0000 0.5000 0.5000 Er
0.0323 0.2823 0.7500 Er
0.5000 0.5000 0.0000 Er
0.9677 0.7177 0.2500 Er



PBE LaInP, relaxed; crystal system = tetragonal; uncorrected energy = -4.89 eV/atom
1.0
-1.8138 1.8138 5.6655
1.8138 -1.8138 5.6655
1.8138 1.8138 -5.6655
La In P
1 1 1
direct
0.0000 0.0000 0.0000 La
0.2808 0.2808 0.0000 In
0.6497 0.6497 0.0000 P